1.
NbAg3Br2Cl6: optimized geometry, PBE.

## Properties
space group = C2/m, No. 12

a = 6.226 Å, b = 7.784 Å, c = 8.348 Å
α = 117.79°, β = 101.82°, γ = 90.00°
Sites, in units of the cell vectors:
Cl1 0.730 0.304 0.172
Cl2 0.270 0.132 0.828
Cl3 0.279 0.114 0.227
Cl4 0.270 0.696 0.828
Cl5 0.721 0.886 0.773
Cl6 0.730 0.868 0.172
Nb1 0.500 0.000 0.000
Ag1 0.500 0.000 0.500
Ag2 0.500 0.500 0.500
Ag3 0.000 0.500 0.000
Br1 0.761 0.329 0.659
Br2 0.239 0.671 0.341

2.
NbAg2BrCl: optimized geometry, PBE.

## Properties
space group = P4/mmm, No. 123

a = 5.282 Å, b = 5.141 Å, c = 5.282 Å
α = 90.00°, β = 90.00°, γ = 90.00°
Sites, in units of the cell vectors:
Ag1 0.000 0.000 0.500
Ag2 0.500 0.000 0.000
Nb1 0.000 0.500 0.000
Br1 0.000 0.000 0.000
Cl1 0.500 0.500 0.500

Number 1: formation energy without anion corrections -781 meV per atom, E_tot -3.54 eV/atom. Number 2: formation energy without anion corrections 889 meV per atom, E_tot -2.97 eV/atom.